[1]
Material: TbDy2Ho6
Method: DFT, PBE-GGA
State: optimized geometry

```
TbDy2Ho6
1.0
3.506 0.311 0.224
-0.146 6.003 -6.189
0.903 0.673 12.647
Ho Tb Dy
6 1 2
Direct
0.112 0.444 0.777
0.667 0.666 0.666
0.222 0.889 0.555
0.888 0.556 0.223
0.778 0.111 0.445
0.333 0.334 0.334
0.000 0.000 0.000
0.445 0.778 0.111
0.555 0.222 0.889
```

Values from the calculation:
As for the symmetry: P-1 (2). Its distance to the lowest polymorph of the same formula is 0.000 eV per atom.

=====

[2]
Material: Tb2DyHo9
Method: DFT, PBE-GGA
State: optimized geometry

```
Tb2DyHo9
1.0
-0.947 0.036 3.342
10.269 -3.151 2.943
-2.482 10.826 -0.821
Tb Ho Dy
2 9 1
Direct
0.000 0.667 0.333
0.000 0.333 0.667
0.500 0.648 0.824
0.500 0.824 0.648
0.000 0.500 0.000
0.000 0.000 0.500
0.500 0.352 0.176
0.500 0.176 0.824
0.500 0.824 0.176
0.500 0.176 0.352
0.000 0.500 0.500
0.000 0.000 0.000
```

Values from the calculation:
As for the symmetry: P6/mmm (191). Its distance to the lowest polymorph of the same formula is 0.034 eV per atom.

=====

[3]
Material: Tb12DyHo6
Method: DFT, PBE-GGA
State: optimized geometry

```
Tb12DyHo6
1.0
-3.603 -4.614 -6.931
4.995 -5.915 4.730
-6.904 2.429 5.362
Tb Ho Dy
12 6 1
Direct
0.863 0.173 0.721
0.173 0.721 0.863
0.809 0.421 0.517
0.517 0.809 0.421
0.191 0.579 0.483
0.827 0.279 0.137
0.483 0.191 0.579
0.421 0.517 0.809
0.279 0.137 0.827
0.579 0.483 0.191
0.137 0.827 0.279
0.721 0.863 0.173
0.923 0.812 0.545
0.077 0.188 0.455
0.455 0.077 0.188
0.812 0.545 0.923
0.188 0.455 0.077
0.545 0.923 0.812
0.000 0.000 0.000
```

Values from the calculation:
As for the symmetry: R-3 (148). Its distance to the lowest polymorph of the same formula is 0.094 eV per atom.

=====

[4]
Material: Tb4Dy15Ho
Method: DFT, PBE-GGA
State: optimized geometry

```
Tb4Dy15Ho
1.0
-4.032 -2.077 2.112
-0.382 -3.173 -3.850
14.693 -16.324 11.992
Dy Tb Ho
15 4 1
Direct
0.500 0.500 0.800
0.000 0.500 0.100
0.500 0.500 0.400
0.500 0.500 0.200
0.500 0.500 0.600
0.500 0.000 0.100
0.500 0.000 0.700
0.000 0.500 0.700
0.500 0.000 0.300
0.000 0.500 0.300
0.500 0.000 0.500
0.500 0.000 0.900
0.000 0.500 0.900
0.000 0.500 0.500
0.500 0.500 0.000
0.000 0.000 0.400
0.000 0.000 0.200
0.000 0.000 0.800
0.000 0.000 0.600
0.000 0.000 0.000
```

Values from the calculation:
As for the symmetry: P4/mmm (123).

=====

[5]
Material: Tb3Dy6Ho2
Method: DFT, PBE-GGA
State: optimized geometry

```
Tb3Dy6Ho2
1.0
-1.181 -2.802 1.807
2.272 -2.036 1.790
-3.544 16.575 26.845
Dy Tb Ho
6 3 2
Direct
0.364 0.364 0.909
0.182 0.182 0.455
0.091 0.091 0.726
0.636 0.636 0.091
0.909 0.909 0.274
0.818 0.818 0.545
0.273 0.273 0.182
0.000 0.000 0.000
0.727 0.727 0.818
0.545 0.545 0.364
0.455 0.455 0.636
```

Values from the calculation:
As for the symmetry: R-3m (166). Its distance to the lowest polymorph of the same formula is 0.000 eV per atom.

=====

[6]
Material: TbDy3Ho6
Method: DFT, PBE-GGA
State: optimized geometry

```
TbDy3Ho6
1.0
-6.205 -0.645 1.041
-1.441 -3.549 -10.796
2.217 -5.876 9.581
Dy Ho Tb
6 12 2
Direct
0.488 0.958 0.704
0.094 0.420 0.580
0.988 0.042 0.296
0.594 0.580 0.420
0.488 0.296 0.042
0.988 0.704 0.958
0.789 0.301 0.699
0.069 0.379 0.258
0.289 0.699 0.301
0.829 0.543 0.105
0.317 0.985 0.015
0.569 0.621 0.742
0.817 0.015 0.985
0.829 0.895 0.457
0.329 0.105 0.543
0.069 0.742 0.621
0.329 0.457 0.895
0.569 0.258 0.379
0.514 0.839 0.161
0.014 0.161 0.839
```

Values from the calculation:
As for the symmetry: Cmc2_1 (36). Its distance to the lowest polymorph of the same formula is 0.000 eV per atom.

=====

[7]
Material: Tb5Dy5Ho
Method: DFT, PBE-GGA
State: optimized geometry

```
Tb5Dy5Ho
1.0
-4.721 4.930 0.069
-4.119 -7.035 2.610
-3.427 -3.230 8.233
Dy Tb Ho
5 5 1
Direct
0.312 0.044 0.320
0.350 0.498 0.777
0.000 0.500 0.500
0.688 0.956 0.680
0.650 0.502 0.223
0.854 0.510 0.853
0.770 0.919 0.352
0.500 0.000 0.000
0.230 0.081 0.648
0.146 0.490 0.147
0.000 0.000 0.000
```

Values from the calculation:
As for the symmetry: P-1 (2). Its distance to the lowest polymorph of the same formula is 0.000 eV per atom.

=====

[8]
Material: TbDy7Ho2
Method: DFT, PBE-GGA
State: optimized geometry

```
TbDy7Ho2
1.0
5.276 0.000 0.000
0.000 9.435 -0.718
0.000 -4.897 8.096
Dy Ho Tb
7 2 1
Direct
0.000 0.201 0.799
0.500 0.500 0.500
0.500 0.289 0.068
0.500 0.068 0.289
0.000 0.799 0.201
0.500 0.711 0.932
0.500 0.932 0.711
0.500 0.298 0.702
0.500 0.702 0.298
0.000 0.000 0.000
```

Values from the calculation:
As for the symmetry: Cmmm (65). Its distance to the lowest polymorph of the same formula is 0.679 eV per atom.

=====

DFT formation energy for the records above, in order: 0.02 0.06 0.25 0.02 0.02 0.12 0.15 0.70 eV/atom
Magnetization for the records above, in order: 0.00 0.00 0.00 0.00 0.00 0.00 0.00 0.00 μB/f.u.